# ErHICl (GGA-PBE, optimized geometry)
data_ErHICl
_space_group_name_H-M_alt 'P -6 m 2'
_space_group_IT_number 187
_space_group_name_Hall 'P -6 2'
_cell_length_a 3.8268
_cell_length_b 3.8268
_cell_length_c 15.0221
_cell_angle_alpha 90.00
_cell_angle_beta 90.00
_cell_angle_gamma 120.00
loop_
_atom_site_label
_atom_site_type_symbol
_atom_site_fract_x
_atom_site_fract_y
_atom_site_fract_z
Er1 Er 0.0000 0.0000 0.0000
Er2 Er 0.0000 0.0000 0.5000
H1 H 0.3333 0.6667 0.0000
H2 H 0.6667 0.3333 0.5000
I1 I 0.3333 0.6667 0.3577
Cl1 Cl 0.6667 0.3333 0.1131
# Total DFT energy (no corrections) in eV/f.u.: -17.1